1.
VASP calculation (GGA-PBE) on crystalline Pu6As3P2Se at its relaxed geometry.

Cell and atoms, written as POSCAR:
```
Pu6As3P2Se
1.0
8.924 -2.046 0.000
8.924 2.046 0.000
-1.884 0.000 7.966
Pu As P Se
6 3 2 1
Direct
0.004 0.004 0.255
0.331 0.331 0.908
0.332 0.332 0.422
0.668 0.668 0.578
0.669 0.669 0.092
0.996 0.996 0.745
0.164 0.164 0.834
0.500 0.500 0.500
0.836 0.836 0.166
0.168 0.168 0.335
0.832 0.832 0.665
0.500 0.500 0.000
```

Computed properties:
The value obtained for the uncorrected formation energy is -1119.7 meV per atom. The symmetry is No. 12.



2.
VASP calculation (GGA-PBE) on crystalline Cs3Ag2HgF6 at its relaxed geometry.

Cell and atoms, written as POSCAR:
```
Cs3Ag2HgF6
1.0
6.610 0.000 0.000
-3.305 5.724 0.000
0.000 0.000 7.676
Cs Ag Hg F
3 2 1 6
Direct
0.000 0.000 0.000
0.333 0.667 0.629
0.667 0.333 0.371
0.333 0.667 0.137
0.667 0.333 0.863
0.000 0.000 0.500
0.165 0.329 0.310
0.165 0.835 0.310
0.329 0.165 0.690
0.671 0.835 0.310
0.835 0.165 0.690
0.835 0.671 0.690
```

Computed properties:
The value obtained for the uncorrected formation energy is -1707.4 meV per atom. The symmetry is No. 164.



no.,M_tot (μB per atom)
1,0.85
2,0.00